## MgSc2Tc (SCAN)

Data for a crystal of MgSc2Tc relaxed with PBEsol.

abc: 3.271 3.271 7.465
angles: 90.00 90.00 90.00
Element x y z (fractional)
Mg  0.000  0.000  0.000
Sc  0.500  0.500  0.302
Sc  0.500  0.500  0.698
Tc  0.000  0.000  0.500

Values from the calculation:
Energy of formation, eV/atom: -0.240
DOS(E_F), states/eV per atom: 0.9472


## CaNiPb2 (SCAN)

Data for a crystal of CaNiPb2 relaxed with PBEsol.

abc: 4.547 4.547 4.385
angles: 90.00 90.00 90.00
Element x y z (fractional)
Ca  0.000  0.000  0.000
Ni  0.500  0.500  0.000
Pb  0.000  0.500  0.500
Pb  0.500  0.000  0.500

Values from the calculation:
Energy of formation, eV/atom: -0.037
DOS(E_F), states/eV per atom: 0.6187


## NaOsCl2 (SCAN)

Data for a crystal of NaOsCl2 relaxed with PBEsol.

abc: 7.597 7.597 7.597
angles: 140.19 140.19 57.56
Element x y z (fractional)
Na  0.000  0.000  0.000
Na  0.750  0.250  0.500
Os  0.250  0.750  0.500
Os  0.500  0.500  0.000
Cl  0.192  0.625  0.067
Cl  0.375  0.442  0.567
Cl  0.558  0.125  0.933
Cl  0.875  0.808  0.433

Values from the calculation:
ΔE_f (raw), eV per atom: 0.149
Excess energy over the best structure of this formula in the dataset, kJ per mole of atoms: 31.44
DOS(E_F), states/eV per atom: 0.6757


## AgBiI4O12 (SCAN)

Data for a crystal of AgBiI4O12 relaxed with PBEsol.

abc: 15.982 15.982 12.589
angles: 90.14 90.14 19.92
Element x y z (fractional)
Ag  0.182  0.674  0.087
Ag  0.215  0.785  0.500
Ag  0.674  0.182  0.587
Ag  0.785  0.215  0.000
Bi  0.182  0.588  0.385
Bi  0.398  0.779  0.883
Bi  0.588  0.182  0.885
Bi  0.779  0.398  0.383
I  0.047  0.565  0.976
I  0.053  0.675  0.676
I  0.076  0.458  0.245
I  0.209  0.732  0.836
I  0.311  0.906  0.593
I  0.324  0.734  0.179
I  0.412  0.924  0.282
I  0.458  0.076  0.745
I  0.517  0.897  0.015
I  0.565  0.047  0.476
I  0.675  0.053  0.176
I  0.732  0.209  0.336
I  0.734  0.324  0.679
I  0.897  0.517  0.515
I  0.906  0.311  0.093
I  0.924  0.412  0.782
O  0.013  0.162  0.536
O  0.034  0.948  0.189
O  0.059  0.736  0.558
O  0.087  0.191  0.876
O  0.109  0.218  0.661
O  0.162  0.013  0.036
O  0.177  0.861  0.916
O  0.191  0.087  0.376
O  0.197  0.258  0.324
O  0.218  0.109  0.161
O  0.231  0.921  0.712
O  0.251  0.279  0.123
O  0.258  0.197  0.824
O  0.271  0.357  0.306
O  0.278  0.525  0.755
O  0.279  0.251  0.623
O  0.289  0.415  0.012
O  0.357  0.271  0.806
O  0.408  0.487  0.933
O  0.415  0.289  0.512
O  0.434  0.628  0.319
O  0.480  0.661  0.525
O  0.482  0.494  0.633
O  0.487  0.408  0.433
O  0.494  0.482  0.133
O  0.525  0.278  0.255
O  0.573  0.673  0.246
O  0.614  0.705  0.958
O  0.628  0.434  0.819
O  0.661  0.480  0.025
O  0.673  0.573  0.746
O  0.697  0.723  0.137
O  0.705  0.614  0.458
O  0.721  0.770  0.933
O  0.723  0.697  0.637
O  0.736  0.059  0.058
O  0.765  0.854  0.595
O  0.770  0.721  0.433
O  0.775  0.994  0.716
O  0.789  0.878  0.380
O  0.854  0.765  0.095
O  0.861  0.177  0.416
O  0.878  0.789  0.880
O  0.918  0.969  0.895
O  0.921  0.231  0.212
O  0.948  0.034  0.689
O  0.969  0.918  0.395
O  0.994  0.775  0.216

Values from the calculation:
ΔE_f (raw), eV per atom: -0.497
DOS(E_F), states/eV per atom: 0.0000


## Si3PtI (SCAN)

Data for a crystal of Si3PtI relaxed with PBEsol.

abc: 4.771 4.771 4.771
angles: 90.00 90.00 90.00
Element x y z (fractional)
Si  0.000  0.000  0.500
Si  0.000  0.500  0.000
Si  0.500  0.000  0.000
Pt  0.000  0.000  0.000
I  0.500  0.500  0.500

Values from the calculation:
ΔE_f (raw), eV per atom: 0.550
DOS(E_F), states/eV per atom: 0.7704


## RbAlB2 (SCAN)

Data for a crystal of RbAlB2 relaxed with PBEsol.

abc: 7.917 7.917 7.917
angles: 145.90 145.90 49.00
Element x y z (fractional)
Rb  0.375  0.625  0.750
Rb  0.625  0.375  0.250
Al  0.125  0.875  0.250
Al  0.875  0.125  0.750
B  0.000  0.000  0.000
B  0.000  0.000  0.500
B  0.000  0.500  0.000
B  0.500  0.000  0.500

Values from the calculation:
Energy of formation, eV/atom: 1.039
DOS(E_F), states/eV per atom: 0.3524


## Li2ScBi2 (SCAN)

Data for a crystal of Li2ScBi2 relaxed with PBEsol.

abc: 8.248 8.248 3.351
angles: 90.00 90.00 90.00
Element x y z (fractional)
Li  0.123  0.377  0.000
Li  0.377  0.877  0.000
Li  0.623  0.123  0.000
Li  0.877  0.623  0.000
Sc  0.000  0.000  0.500
Sc  0.500  0.500  0.500
Bi  0.175  0.675  0.500
Bi  0.325  0.175  0.500
Bi  0.675  0.825  0.500
Bi  0.825  0.325  0.500

Values from the calculation:
Energy of formation, eV/atom: -0.425
DOS(E_F), states/eV per atom: 0.4112


## Ba7ZrN6 (SCAN)

Data for a crystal of Ba7ZrN6 relaxed with PBEsol.

abc: 12.374 7.116 14.705
angles: 90.00 90.00 90.00
Element x y z (fractional)
Ba  0.000  0.053  0.250
Ba  0.000  0.947  0.750
Ba  0.015  0.242  0.529
Ba  0.015  0.758  0.029
Ba  0.213  0.394  0.118
Ba  0.213  0.606  0.618
Ba  0.237  0.241  0.371
Ba  0.237  0.759  0.871
Ba  0.263  0.259  0.871
Ba  0.263  0.741  0.371
Ba  0.287  0.106  0.618
Ba  0.287  0.894  0.118
Ba  0.485  0.258  0.029
Ba  0.485  0.742  0.529
Ba  0.500  0.447  0.750
Ba  0.500  0.553  0.250
Ba  0.515  0.258  0.471
Ba  0.515  0.742  0.971
Ba  0.713  0.106  0.882
Ba  0.713  0.894  0.382
Ba  0.737  0.259  0.629
Ba  0.737  0.741  0.129
Ba  0.763  0.241  0.129
Ba  0.763  0.759  0.629
Ba  0.787  0.394  0.382
Ba  0.787  0.606  0.882
Ba  0.985  0.242  0.971
Ba  0.985  0.758  0.471
Zr  0.000  0.440  0.750
Zr  0.000  0.560  0.250
Zr  0.500  0.060  0.250
Zr  0.500  0.940  0.750
N  0.031  0.386  0.360
N  0.031  0.614  0.860
N  0.128  0.260  0.715
N  0.128  0.740  0.215
N  0.168  0.051  0.990
N  0.168  0.949  0.490
N  0.332  0.449  0.490
N  0.332  0.551  0.990
N  0.372  0.240  0.215
N  0.372  0.760  0.715
N  0.469  0.114  0.860
N  0.469  0.886  0.360
N  0.531  0.114  0.640
N  0.531  0.886  0.140
N  0.628  0.240  0.285
N  0.628  0.760  0.785
N  0.668  0.449  0.010
N  0.668  0.551  0.510
N  0.832  0.051  0.510
N  0.832  0.949  0.010
N  0.872  0.260  0.785
N  0.872  0.740  0.285
N  0.969  0.386  0.140
N  0.969  0.614  0.640

Values from the calculation:
ΔE_f (raw), eV per atom: -0.823


## CaAg4 (SCAN)

Data for a crystal of CaAg4 relaxed with PBEsol.

abc: 7.050 7.050 7.050
angles: 147.05 147.05 47.30
Element x y z (fractional)
Ca  0.000  0.000  0.000
Ag  0.250  0.750  0.500
Ag  0.397  0.397  0.000
Ag  0.603  0.603  0.000
Ag  0.750  0.250  0.500

Values from the calculation:
Energy of formation, eV/atom: -0.121
DOS(E_F), states/eV per atom: 0.3659


## TaSi2PdCl (SCAN)

Data for a crystal of TaSi2PdCl relaxed with PBEsol.

abc: 4.580 4.580 4.634
angles: 90.00 90.00 90.00
Element x y z (fractional)
Ta  0.000  0.000  0.000
Si  0.000  0.500  0.500
Si  0.500  0.000  0.500
Pd  0.500  0.500  0.500
Cl  0.500  0.500  0.000

Values from the calculation:
ΔE_f (raw), eV per atom: 1.148
DOS(E_F), states/eV per atom: 0.7688


## LaYAs2 (SCAN)

Data for a crystal of LaYAs2 relaxed with PBEsol.

abc: 6.588 6.588 6.588
angles: 110.06 110.06 108.30
Element x y z (fractional)
La  0.000  0.000  0.000
La  0.750  0.250  0.500
Y  0.250  0.750  0.500
Y  0.500  0.500  0.000
As  0.140  0.125  0.515
As  0.375  0.860  0.985
As  0.610  0.625  0.485
As  0.875  0.390  0.015

Values from the calculation:
Energy of formation, eV/atom: -1.329
Excess energy over the best structure of this formula in the dataset, kJ per mole of atoms: 41.81
DOS(E_F), states/eV per atom: 0.0858


## AgHgPb2Au (SCAN)

Data for a crystal of AgHgPb2Au relaxed with PBEsol.

abc: 5.325 5.325 5.083
angles: 90.00 90.00 90.00
Element x y z (fractional)
Ag  0.000  0.000  0.000
Hg  0.500  0.500  0.500
Pb  0.000  0.500  0.000
Pb  0.500  0.000  0.000
Au  0.000  0.000  0.500

Values from the calculation:
Energy of formation, eV/atom: 0.398
DOS(E_F), states/eV per atom: 0.4112